Material: Ca3AlOs
Method: DFT, PBE
State: optimized geometry

Symmetry = No. 221
Energy relative to the lowest polymorph listed for this composition = 0 meV/atom

Lattice parameters (Å, degrees): 5.450 5.450 5.450 90.00 90.00 90.00
Site moments in Bohr magnetons follow the coordinates.
Positions (direct):
Al  0.500  0.500  0.500  0.00
Ca  0.000  0.500  0.000  0.00
Ca  0.000  0.000  0.500  0.00
Ca  0.500  0.000  0.000  0.00
Os  0.000  0.000  0.000  -0.13

***

Material: CaAlOs2
Method: DFT, PBE
State: optimized geometry

Symmetry = No. 12

Lattice parameters (Å, degrees): 6.881 4.848 10.371 90.00 116.82 90.00
Positions (direct):
Al  0.356  0.000  0.174
Al  0.644  0.000  0.826
Al  0.356  0.500  0.674
Al  0.644  0.500  0.326
Os  0.000  0.750  0.000
Os  0.000  0.750  0.500
Os  0.000  0.250  0.500
Os  0.384  0.500  0.060
Os  0.000  0.250  0.000
Os  0.616  0.000  0.440
Os  0.616  0.500  0.940
Os  0.384  0.000  0.560
Ca  0.211  0.500  0.325
Ca  0.789  0.000  0.175
Ca  0.211  0.000  0.825
Ca  0.789  0.500  0.675

***

Material: CaAlOs2
Method: DFT, PBE
State: optimized geometry

Symmetry = No. 12

Lattice parameters (Å, degrees): 4.818 4.818 5.516 77.23 77.23 34.94
Positions (direct):
Ca  0.250  0.250  0.250
Al  0.750  0.750  0.750
Os  0.023  0.023  0.931
Os  0.477  0.477  0.569

***

Material: CaAl2Os
Method: DFT, PBE
State: optimized geometry

Symmetry = No. 225

Lattice parameters (Å, degrees): 4.569 4.569 4.569 60.00 60.00 60.00
Positions (direct):
Ca  0.000  0.000  0.000
Os  0.500  0.500  0.500
Al  0.250  0.250  0.250
Al  0.750  0.750  0.750

***

Material: CaAlOs2
Method: DFT, PBE
State: optimized geometry

Symmetry = No. 10

Lattice parameters (Å, degrees): 4.249 2.847 5.835 80.84 90.00 90.00
Positions (direct):
Ca  0.500  0.750  0.750
Al  0.500  0.250  0.250
Os  0.000  0.041  0.054
Os  0.000  0.459  0.446

***

Material: CaAl2Os
Method: DFT, PBE
State: optimized geometry

Symmetry = No. 119

Lattice parameters (Å, degrees): 4.964 4.964 4.964 129.64 129.64 73.98
Positions (direct):
Al  0.250  0.750  0.500
Al  0.000  0.000  0.000
Ca  0.500  0.500  0.000
Os  0.750  0.250  0.500

***

Material: CaAl2Os
Method: DFT, PBE
State: optimized geometry

Symmetry = No. 166

Lattice parameters (Å, degrees): 9.067 9.067 9.067 20.20 20.20 20.20
Positions (direct):
Al  0.016  0.016  0.016
Al  0.484  0.484  0.484
Ca  0.250  0.250  0.250
Os  0.750  0.750  0.750

***

Material: CaAlOs2
Method: DFT, PBE
State: optimized geometry

Symmetry = No. 119

Lattice parameters (Å, degrees): 4.542 4.542 4.542 120.14 120.14 89.76
Positions (direct):
Al  0.500  0.500  0.000
Ca  0.750  0.250  0.500
Os  0.000  0.000  0.000
Os  0.250  0.750  0.500

***

Material: CaAlOs
Method: DFT, PBE
State: optimized geometry

Symmetry = No. 187

Lattice parameters (Å, degrees): 4.320 4.320 3.813 90.00 90.00 120.00
Positions (direct):
Os  0.333  0.667  0.833
Al  0.000  0.000  0.833
Ca  0.667  0.333  0.333

***

Material: CaAlOs2
Method: DFT, PBE
State: optimized geometry

Symmetry = No. 160

Lattice parameters (Å, degrees): 4.368 4.368 15.537 90.00 90.00 120.00
Positions (direct):
Al  0.000  0.000  0.820
Al  0.667  0.333  0.153
Al  0.333  0.667  0.487
Ca  0.333  0.667  0.298
Ca  0.000  0.000  0.631
Ca  0.667  0.333  0.964
Os  0.000  0.000  0.442
Os  0.667  0.333  0.448
Os  0.667  0.333  0.776
Os  0.333  0.667  0.782
Os  0.000  0.000  0.115
Os  0.333  0.667  0.109

***

Material: CaAlOs2
Method: DFT, PBE
State: optimized geometry

Symmetry = No. 11

Lattice parameters (Å, degrees): 4.757 4.234 8.215 90.00 105.75 90.00
Positions (direct):
Ca  0.091  0.750  0.187
Ca  0.909  0.250  0.813
Os  0.475  0.750  0.923
Os  0.525  0.250  0.077
Os  0.400  0.750  0.623
Os  0.600  0.250  0.377
Al  0.833  0.750  0.503
Al  0.167  0.250  0.497

***

Material: CaAlOs2
Method: DFT, PBE
State: optimized geometry

Symmetry = No. 166

Lattice parameters (Å, degrees): 8.976 8.976 8.976 18.81 18.81 18.81
Positions (direct):
Al  0.250  0.250  0.250
Ca  0.750  0.750  0.750
Os  0.510  0.510  0.510
Os  0.990  0.990  0.990

***

Material: CaAlOs2
Method: DFT, PBE
State: optimized geometry

Symmetry = No. 139

Lattice parameters (Å, degrees): 4.955 4.955 4.955 131.56 131.56 70.93
Positions (direct):
Ca  0.750  0.250  0.500
Os  0.000  0.000  0.000
Os  0.500  0.500  0.000
Al  0.250  0.750  0.500

***

Material: CaAlOs2
Method: DFT, PBE
State: optimized geometry

Symmetry = No. 8

Lattice parameters (Å, degrees): 6.664 4.235 11.269 90.00 95.67 90.00
Positions (direct):
Os  0.469  0.500  0.279
Os  0.966  0.500  0.616
Os  0.709  0.500  0.130
Os  0.109  0.500  0.200
Os  0.709  0.000  0.630
Os  0.469  0.000  0.779
Os  0.966  0.000  0.116
Os  0.109  0.000  0.700
Ca  0.806  0.000  0.347
Ca  0.806  0.500  0.847
Ca  0.278  0.000  0.458
Ca  0.278  0.500  0.958
Al  0.621  0.500  0.499
Al  0.360  0.500  0.675
Al  0.360  0.000  0.175
Al  0.621  0.000  0.999

***

Material: CaAl3Os
Method: DFT, PBE
State: optimized geometry

Symmetry = No. 221
Energy relative to the lowest polymorph listed for this composition = 0 meV/atom

Lattice parameters (Å, degrees): 4.767 4.767 4.767 90.00 90.00 90.00
Positions (direct):
Al  0.000  0.500  0.000
Al  0.000  0.000  0.500
Al  0.500  0.000  0.000
Os  0.000  0.000  0.000
Ca  0.500  0.500  0.500

***

Material: CaAl2Os2
Method: DFT, PBE
State: optimized geometry

Symmetry = No. 127
Energy relative to the lowest polymorph listed for this composition = 26 meV/atom

Lattice parameters (Å, degrees): 7.694 7.694 2.791 90.00 90.00 90.00
Positions (direct):
Al  0.647  0.853  0.500
Al  0.147  0.647  0.500
Al  0.853  0.353  0.500
Al  0.353  0.147  0.500
Os  0.355  0.855  0.000
Os  0.645  0.145  0.000
Os  0.855  0.645  0.000
Os  0.145  0.355  0.000
Ca  0.000  0.000  0.000
Ca  0.500  0.500  0.000

***

Material: CaAl2Os
Method: DFT, PBE
State: optimized geometry

Symmetry = No. 65

Lattice parameters (Å, degrees): 5.090 5.090 2.928 90.00 90.00 112.45
Site moments in Bohr magnetons follow the coordinates.
Positions (direct):
Os  0.000  0.500  0.500  0.51
Al  0.500  0.500  0.000  0.00
Al  0.000  0.000  0.000  0.00
Ca  0.500  0.000  0.500  0.00

***

Material: CaAl2Os
Method: DFT, PBE
State: optimized geometry

Symmetry = No. 44

Lattice parameters (Å, degrees): 5.553 5.553 5.553 146.29 129.88 61.77
Positions (direct):
Os  0.774  0.274  0.500
Al  0.977  0.977  0.000
Al  0.232  0.732  0.500
Ca  0.517  0.517  0.000

***

Material: CaAlOs2
Method: DFT, PBE
State: optimized geometry

Symmetry = No. 44

Lattice parameters (Å, degrees): 5.358 4.213 12.539 90.00 90.00 90.00
Positions (direct):
Al  0.500  0.000  0.195
Al  0.000  0.500  0.695
Al  0.500  0.500  0.838
Al  0.000  0.000  0.338
Ca  0.000  0.500  0.933
Ca  0.500  0.500  0.610
Ca  0.500  0.000  0.433
Ca  0.000  0.000  0.110
Os  0.769  0.000  0.776
Os  0.500  0.500  0.064
Os  0.000  0.000  0.564
Os  0.731  0.500  0.276
Os  0.269  0.500  0.276
Os  0.231  0.000  0.776
Os  0.000  0.500  0.467
Os  0.500  0.000  0.967

***

Material: CaAlOs2
Method: DFT, PBE
State: optimized geometry

Symmetry = No. 47

Lattice parameters (Å, degrees): 3.032 4.833 4.477 90.00 90.00 90.00
Positions (direct):
Os  0.500  0.500  0.000
Os  0.000  0.000  0.000
Ca  0.000  0.500  0.500
Al  0.500  0.000  0.500

***

Material: CaAlOs
Method: DFT, PBE
State: optimized geometry

Symmetry = No. 107

Lattice parameters (Å, degrees): 5.808 5.808 3.330 73.34 73.34 33.32
Positions (direct):
Al  0.046  0.046  0.954
Ca  0.324  0.324  0.676
Os  0.630  0.630  0.370

***

Material: CaAl2Os
Method: DFT, PBE
State: optimized geometry

Symmetry = No. 99

Lattice parameters (Å, degrees): 3.308 3.308 7.018 90.00 90.00 90.00
Positions (direct):
Ca  0.000  0.000  0.527
Os  0.500  0.500  0.824
Al  0.000  0.000  0.961
Al  0.500  0.500  0.188

***

Material: CaAlOs2
Method: DFT, PBE
State: optimized geometry

Symmetry = No. 65

Lattice parameters (Å, degrees): 2.835 2.835 8.824 90.00 90.00 113.35
Positions (direct):
Ca  0.500  0.500  0.750
Os  0.000  0.000  0.027
Os  0.000  0.000  0.473
Al  0.500  0.500  0.250

***

Material: CaAlOs2
Method: DFT, PBE
State: optimized geometry

Symmetry = No. 12

Lattice parameters (Å, degrees): 5.927 4.413 7.651 90.00 115.66 90.00
Positions (direct):
Os  0.530  0.500  0.173
Os  0.470  0.500  0.827
Os  0.470  0.000  0.327
Os  0.530  0.000  0.673
Ca  0.000  0.000  0.500
Ca  0.000  0.500  0.000
Al  0.500  0.500  0.500
Al  0.500  0.000  0.000

***

Material: CaAl2Os
Method: DFT, PBE
State: optimized geometry

Symmetry = No. 123

Lattice parameters (Å, degrees): 4.126 4.125 4.162 90.00 90.00 90.00
Positions (direct):
Ca  0.500  0.000  0.500
Al  0.000  0.000  0.000
Al  0.500  0.500  0.000
Os  0.000  0.500  0.500

***

Material: CaAlOs2
Method: DFT, PBE
State: optimized geometry

Symmetry = No. 1

Lattice parameters (Å, degrees): 4.780 5.801 6.829 114.57 90.83 113.95
Positions (direct):
Os  0.348  0.827  0.248
Os  0.624  0.341  0.489
Os  0.529  0.686  0.849
Os  0.208  0.558  0.471
Ca  0.949  0.031  0.635
Ca  0.604  0.355  0.078
Al  0.028  0.675  0.855
Al  0.941  0.041  0.207

***

Material: CaAlOs2
Method: DFT, PBE
State: optimized geometry

Symmetry = No. 25

Lattice parameters (Å, degrees): 2.860 3.693 7.033 90.00 90.00 90.00
Positions (direct):
Os  0.000  0.000  0.073
Os  0.500  0.500  0.229
Al  0.000  0.000  0.442
Ca  0.500  0.500  0.756

***

It is found that the formation enthalpy at 0 K values, taken in the order of the records, are 471; -98; 243; -109; 308; 174; 102; 395; 54; -36; -32; 327; 508; -18; -242; -178; 241; 124; -125; 422; -62; -131; 302; -26; 156; -86; 146 meV per atom.
It is found that the DFT total energy values, taken in the order of the records, are -3.7248; -7.1491; -6.8076; -5.2886; -6.7432; -5.0051; -5.0774; -6.6560; -5.6036; -7.0870; -7.0825; -6.7237; -6.5430; -7.0689; -5.1340; -6.5668; -4.9381; -5.0547; -7.1763; -6.6289; -5.7196; -5.3099; -6.7486; -7.0769; -5.0227; -7.1369; -6.9047 eV/atom.